# ReSnHg2, relaxed, DFT PBE
# - calculated total energy (eV/atom) = -3.307
# - calculated density (g/cm³) = 14.33
data_ReSnHg2
_symmetry_space_group_name_H-M 'F -4 3 m'
_symmetry_Int_Tables_number 216
_symmetry_space_group_name_Hall 'F -4 2 3'
_cell_length_a 6.891
_cell_length_b 6.891
_cell_length_c 6.891
_cell_angle_alpha 90.00
_cell_angle_beta 90.00
_cell_angle_gamma 90.00
loop_
_atom_site_label
_atom_site_type_symbol
_atom_site_fract_x
_atom_site_fract_y
_atom_site_fract_z
Re1 Re 0.000 0.000 0.000
Sn1 Sn 0.250 0.250 0.750
Hg1 Hg 0.000 0.000 0.500
Hg2 Hg 0.250 0.250 0.250

---

# ReSn2Hg, relaxed, DFT PBE
# - calculated total energy (eV/atom) = -4.241
# - calculated density (g/cm³) = 12.09
data_ReSn2Hg
_symmetry_space_group_name_H-M 'F -4 3 m'
_symmetry_Int_Tables_number 216
_symmetry_space_group_name_Hall 'F -4 2 3'
_cell_length_a 6.999
_cell_length_b 6.999
_cell_length_c 6.999
_cell_angle_alpha 90.00
_cell_angle_beta 90.00
_cell_angle_gamma 90.00
loop_
_atom_site_label
_atom_site_type_symbol
_atom_site_fract_x
_atom_site_fract_y
_atom_site_fract_z
Re1 Re 0.000 0.000 0.000
Sn1 Sn 0.000 0.000 0.500
Sn2 Sn 0.250 0.250 0.750
Hg1 Hg 0.250 0.250 0.250

---

# ReSnHg, relaxed, DFT PBE
# - calculated total energy (eV/atom) = -4.705
# - offset from the most stable computed form (eV/f.u.) = 0.00
# - calculated density (g/cm³) = 12.37
data_ReSnHg
_symmetry_space_group_name_H-M 'F -4 3 m'
_symmetry_Int_Tables_number 216
_symmetry_space_group_name_Hall 'F -4 2 3'
_cell_length_a 6.475
_cell_length_b 6.475
_cell_length_c 6.475
_cell_angle_alpha 90.00
_cell_angle_beta 90.00
_cell_angle_gamma 90.00
loop_
_atom_site_label
_atom_site_type_symbol
_atom_site_fract_x
_atom_site_fract_y
_atom_site_fract_z
Re1 Re 0.000 0.000 0.000
Sn1 Sn 0.250 0.250 0.250
Hg1 Hg 0.250 0.250 0.750

---

Which of these has the lowest calculated density? ReSn2Hg